NiTeS (PBE, relaxed); VASP energy = -4.5290 eV per atom; ΔE_f (raw) = -4.12 kcal/mol of atoms; density of states at the Fermi level = 2.536 states/eV per cell; SG = Pmn2_1 (31); V = 112.9 Å³/cell
1.0
3.7284 0.0000 0.0000
0.0000 4.9922 0.0000
0.0000 0.0000 6.0677
Ni Te S
2 2 2
Direct
0.0000 0.2084 0.0000 Ni
0.5000 0.7916 0.5000 Ni
0.0000 0.4610 0.6224 Te
0.5000 0.5390 0.1224 Te
0.0000 0.0376 0.3696 S
0.5000 0.9624 0.8696 S



Cs2AcHoO4 (PBE, relaxed); VASP energy = -6.3132 eV per atom; ΔE_f (raw) = -58.46 kcal/mol of atoms; density of states at the Fermi level = 0.000 states/eV per cell; SG = P2/m (10); V = 167.4 Å³/cell
1.0
6.4669 0.0000 0.0000
0.0000 3.7238 0.0000
-2.1579 0.0000 6.9521
Cs Ac Ho O
2 1 1 4
Direct
0.0000 0.0000 0.0000 Cs
0.5000 0.5000 0.0000 Cs
0.0000 0.5000 0.5000 Ac
0.5000 0.0000 0.5000 Ho
0.2465 0.0000 0.6690 O
0.2943 0.5000 0.3329 O
0.7057 0.5000 0.6671 O
0.7535 0.0000 0.3310 O



BaSi2As (PBE, relaxed); VASP energy = -4.5446 eV per atom; ΔE_f (raw) = -4.38 kcal/mol of atoms; density of states at the Fermi level = 2.027 states/eV per cell; SG = P2/m (10); V = 108.4 Å³/cell
1.0
4.1892 0.0000 0.0000
0.0000 4.8755 0.0000
-0.3398 0.0000 5.3052
Ba Si As
1 2 1
Direct
0.0000 0.0000 0.0000 Ba
0.2701 0.5000 0.6153 Si
0.7299 0.5000 0.3847 Si
0.5000 0.0000 0.5000 As



TcCN2F (PBE, relaxed); VASP energy = -5.8809 eV per atom; ΔE_f (raw) = 40.16 kcal/mol of atoms; density of states at the Fermi level = 2.814 states/eV per cell; SG = P4/mmm (123); V = 43.1 Å³/cell
1.0
3.5569 0.0000 0.0000
0.0000 3.5569 0.0000
0.0000 0.0000 3.4102
Tc C N F
1 1 2 1
Direct
0.0000 0.0000 0.0000 Tc
0.5000 0.5000 0.5000 C
0.0000 0.5000 0.5000 N
0.5000 0.0000 0.5000 N
0.5000 0.5000 0.0000 F



Ag2Sb (PBE, relaxed); VASP energy = -3.2093 eV per atom; ΔE_f (raw) = 1.51 kcal/mol of atoms; density of states at the Fermi level = 1.851 states/eV per cell; SG = C2/m (12); V = 126.3 Å³/cell
1.0
5.6391 -1.5923 0.0000
5.6391 1.5923 0.0000
-2.8678 0.0000 7.0325
Ag Sb
4 2
Direct
0.0509 0.0509 0.2811 Ag
0.3630 0.3630 0.9768 Ag
0.6370 0.6370 0.0232 Ag
0.9491 0.9491 0.7189 Ag
0.3329 0.3329 0.3424 Sb
0.6671 0.6671 0.6576 Sb



ZnNi2PtN (PBE, relaxed); VASP energy = -5.4589 eV per atom; ΔE_f (raw) = -0.42 kcal/mol of atoms; density of states at the Fermi level = 3.002 states/eV per cell; SG = P4/mmm (123); V = 58.4 Å³/cell
1.0
3.7449 0.0000 0.0000
0.0000 3.7449 0.0000
0.0000 0.0000 4.1624
Zn Ni Pt N
1 2 1 1
Direct
0.0000 0.0000 0.0000 Zn
0.0000 0.5000 0.5000 Ni
0.5000 0.0000 0.5000 Ni
0.5000 0.5000 0.0000 Pt
0.0000 0.0000 0.5000 N



ErMn2Tl3S6 (PBE, relaxed); VASP energy = -5.3377 eV per atom; ΔE_f (raw) = -17.85 kcal/mol of atoms; density of states at the Fermi level = 3.906 states/eV per cell; SG = C2/m (12); V = 272.1 Å³/cell
1.0
3.2412 -5.5892 0.0000
3.2412 5.5892 0.0000
-2.1356 0.0000 7.5094
Er Mn Tl S
1 2 3 6
Direct
0.0000 0.0000 0.0000 Er
0.3334 0.6666 0.0000 Mn
0.6666 0.3334 0.0000 Mn
0.1607 0.8393 0.5000 Tl
0.5000 0.5000 0.5000 Tl
0.8393 0.1607 0.5000 Tl
0.0598 0.4226 0.1844 S
0.3029 0.3029 0.8208 S
0.4226 0.0598 0.1844 S
0.5774 0.9402 0.8156 S
0.6971 0.6971 0.1792 S
0.9402 0.5774 0.8156 S



Ba3Li2F8 (PBE, relaxed); VASP energy = -5.3858 eV per atom; ΔE_f (raw) = -80.62 kcal/mol of atoms; density of states at the Fermi level = 0.000 states/eV per cell; SG = R-3m (166); V = 207.6 Å³/cell
1.0
2.8834 1.6647 7.2069
-2.8834 1.6647 7.2069
0.0000 -3.3294 7.2069
Ba Li F
3 2 8
Direct
0.0000 0.0000 0.0000 Ba
0.2072 0.2072 0.2072 Ba
0.7928 0.7928 0.7928 Ba
0.4084 0.4084 0.4084 Li
0.5916 0.5916 0.5916 Li
0.2166 0.7355 0.7355 F
0.2645 0.2645 0.7834 F
0.2645 0.7834 0.2645 F
0.3234 0.3234 0.3234 F
0.6766 0.6766 0.6766 F
0.7355 0.2166 0.7355 F
0.7355 0.7355 0.2166 F
0.7834 0.2645 0.2645 F



Nd2AsP3Ir4 (PBE, relaxed); VASP energy = -7.4875 eV per atom; density of states at the Fermi level = 4.122 states/eV per cell; SG = P-4m2 (115); V = 172.6 Å³/cell; energy relative to the elements = -0.90 eV/atom
1.0
4.1907 0.0000 0.0000
0.0000 4.1907 0.0000
0.0000 0.0000 9.8299
Nd As P Ir
2 1 3 4
Direct
0.0000 0.5000 0.2483 Nd
0.5000 0.0000 0.7517 Nd
0.5000 0.5000 0.0000 As
0.0000 0.0000 0.0000 P
0.0000 0.5000 0.6374 P
0.5000 0.0000 0.3626 P
0.0000 0.0000 0.5000 Ir
0.0000 0.5000 0.8762 Ir
0.5000 0.0000 0.1238 Ir
0.5000 0.5000 0.5000 Ir



SmHfTc4 (PBE, relaxed); VASP energy = -9.4676 eV per atom; density of states at the Fermi level = 10.827 states/eV per cell; SG = F-43m (216); V = 108.6 Å³/cell; energy relative to the elements = -0.11 eV/atom
1.0
0.0000 3.7871 3.7871
3.7871 0.0000 3.7871
3.7871 3.7871 0.0000
Sm Hf Tc
1 1 4
Direct
0.0000 0.0000 0.0000 Sm
0.7500 0.7500 0.7500 Hf
0.3754 0.3754 0.3754 Tc
0.3754 0.3754 0.8737 Tc
0.3754 0.8737 0.3754 Tc
0.8737 0.3754 0.3754 Tc



CaZn3CuPt (PBE, relaxed); VASP energy = -2.8778 eV per atom; density of states at the Fermi level = 5.148 states/eV per cell; SG = Cmcm (63); V = 241.7 Å³/cell; energy relative to the elements = -0.22 eV/atom
1.0
4.0627 -5.4303 0.0000
4.0627 5.4303 0.0000
0.0000 0.0000 5.4789
Ca Zn Cu Pt
2 6 2 2
Direct
0.1998 0.8002 0.7500 Ca
0.8002 0.1998 0.2500 Ca
0.2378 0.2378 0.0000 Zn
0.2378 0.2378 0.5000 Zn
0.3089 0.6911 0.2500 Zn
0.6911 0.3089 0.7500 Zn
0.7622 0.7622 0.0000 Zn
0.7622 0.7622 0.5000 Zn
0.0794 0.9206 0.2500 Cu
0.9206 0.0794 0.7500 Cu
0.4603 0.5397 0.7500 Pt
0.5397 0.4603 0.2500 Pt



KMg2In (PBE, relaxed); VASP energy = -1.6718 eV per atom; density of states at the Fermi level = 3.050 states/eV per cell; SG = P4/mmm (123); V = 126.2 Å³/cell; energy relative to the elements = 0.08 eV/atom
1.0
3.7294 0.0000 0.0000
0.0000 3.7294 0.0000
0.0000 0.0000 9.0714
K Mg In
1 2 1
Direct
0.0000 0.0000 0.0000 K
0.5000 0.5000 0.3147 Mg
0.5000 0.5000 0.6853 Mg
0.0000 0.0000 0.5000 In



Repeat the tenth record exactly.
SmHfTc4 (PBE, relaxed); VASP energy = -9.4676 eV per atom; density of states at the Fermi level = 10.827 states/eV per cell; SG = F-43m (216); V = 108.6 Å³/cell; energy relative to the elements = -0.11 eV/atom
1.0
0.0000 3.7871 3.7871
3.7871 0.0000 3.7871
3.7871 3.7871 0.0000
Sm Hf Tc
1 1 4
Direct
0.0000 0.0000 0.0000 Sm
0.7500 0.7500 0.7500 Hf
0.3754 0.3754 0.3754 Tc
0.3754 0.3754 0.8737 Tc
0.3754 0.8737 0.3754 Tc
0.8737 0.3754 0.3754 Tc